1.
Density functional theory data (PBE) for a relaxed LiEuDyIr crystal.

* calculated formation energy: -390.1 meV per atom
* spin magnetization: 28.2 μB/cell
* calculated density: 9.73 g cm⁻³

Unit cell a=7.0505 b=7.0505 c=7.0505 alpha=90.00 beta=90.00 gamma=90.00
Last column: nearest neighbours and their distance in Å.
Space group F-43m (No. 216)
Unique sites:
Li1 0.0000 0.0000 0.0000  4 Dy 3.05, 4 Eu 3.05
Eu1 0.2500 0.2500 0.2500  4 Li 3.05, 4 Ir 3.05
Dy1 0.2500 0.2500 0.7500  4 Li 3.05, 4 Ir 3.05
Ir1 0.0000 0.0000 0.5000  4 Dy 3.05, 4 Eu 3.05



2.
Density functional theory data (PBE) for a relaxed Ce2SiP3Ir4 crystal.

* spin magnetization: 0.0 μB/cell
* calculated density: 11.66 g cm⁻³
* E_form (uncorrected): -1.027 eV/atom

Unit cell a=4.1197 b=4.1197 c=9.8208 alpha=90.00 beta=90.00 gamma=90.00
Last column: nearest neighbours and their distance in Å.
Space group P-4m2 (No. 115)
Unique sites:
Ce1 0.0000 0.5000 0.2463  6 P 3.12-3.18, 8 Ir 3.16-3.23, 2 Si 3.18
Si1 0.5000 0.5000 0.0000  4 Ir 2.39
P1 0.0000 0.0000 0.0000  4 Ir 2.39
P2 0.0000 0.5000 0.6390  5 Ir 2.34-2.47
Ir1 0.0000 0.0000 0.5000  4 P 2.47
Ir2 0.0000 0.5000 0.8774  3 P 2.34-2.39, 2 Si 2.39
Ir3 0.5000 0.5000 0.5000  4 P 2.47



3.
Density functional theory data (PBE) for a relaxed Nd3AgIr crystal.

* calculated formation energy: -397.1 meV per atom
* polymorph energy (0 for the lowest one): 0.14 eV per formula unit
* spin magnetization: 0.0 μB/cell
* calculated density: 8.61 g cm⁻³

Unit cell a=5.8182 b=6.8230 c=8.3394 alpha=100.65 beta=101.54 gamma=114.11
Last column: nearest neighbours and their distance in Å.
Space group P-1 (No. 2)
Unique sites:
Nd1 0.0570 0.2008 0.3144  2 Ir 2.84-3.15
Nd2 0.3057 0.8357 0.1268  3 Ir 2.94-3.07, 1 Ag 3.16
Nd3 0.3248 0.4568 0.7607  2 Ir 2.82-2.86
Ag1 0.3680 0.7602 0.4919  1 Ag 2.96, 4 Nd 3.16-3.30
Ir1 0.2381 0.1776 0.9825  7 Nd 2.82-3.15, 1 Ir 2.96



4.
Density functional theory data (PBE) for a relaxed Ac2Ag2HgPd5 crystal.

* calculated formation energy: -469.6 meV per atom
* spin magnetization: 0.0 μB/cell
* calculated density: 11.04 g cm⁻³

Unit cell a=10.1019 b=10.1019 c=4.1355 alpha=90.00 beta=90.00 gamma=90.00
Last column: nearest neighbours and their distance in Å.
Space group P4/mbm (No. 127)
Unique sites:
Ac1 0.1778 0.3222 0.0000  3 Ag 2.88-3.07
Ag1 0.1209 0.6209 0.0000  6 Pd 2.69-2.80, 1 Ac 2.88
Hg1 0.0000 0.0000 0.0000  8 Pd 2.97
Pd1 0.0000 0.5000 0.5000  4 Ag 2.69
Pd2 0.0581 0.7975 0.5000  2 Ag 2.80, 2 Hg 2.97, 3 Pd 3.01-3.06



5.
Density functional theory data (PBE) for a relaxed AcIn4Hg4 crystal.

* calculated formation energy: -88.7 meV per atom
* spin magnetization: 0.0 μB/cell
* calculated density: 9.60 g cm⁻³

Unit cell a=7.2667 b=7.2667 c=9.7490 alpha=90.00 beta=90.00 gamma=90.00
Last column: nearest neighbours and their distance in Å.
Space group P4_2/nmc (No. 137, origin choice 2)
Unique sites:
Ac1 0.2500 0.7500 0.2500  4 Hg 3.41
In1 0.0330 0.2500 0.1586  5 Hg 2.94-3.04, 1 In 3.15
Hg1 0.0125 0.2500 0.4601  5 In 2.94-3.04



6.
Density functional theory data (PBE) for a relaxed NdGe2Pd7 crystal.

* calculated formation energy: -596.4 meV per atom
* polymorph energy (0 for the lowest one): 0.00 eV per formula unit
* spin magnetization: 0.0 μB/cell
* calculated density: 9.78 g cm⁻³

Unit cell a=4.1250 b=4.1250 c=20.6397 alpha=90.00 beta=90.00 gamma=90.00
Last column: nearest neighbours and their distance in Å.
Space group I4/mmm (No. 139)
Unique sites:
Nd1 0.0000 0.0000 0.0000  12 Pd 2.92-3.01
Ge1 0.0000 0.0000 0.3243  8 Pd 2.51-2.57
Pd1 0.0000 0.0000 0.5000  4 Nd 2.92, 8 Pd 3.01
Pd2 0.0000 0.5000 0.1065  2 Ge 2.51
Pd3 0.0000 0.5000 0.2500  4 Ge 2.57



7.
Density functional theory data (PBE) for a relaxed SnHPb crystal.

* polymorph energy (0 for the lowest one): 0.00 eV per formula unit
* spin magnetization: 0.0 μB/cell
* calculated density: 7.12 g cm⁻³

Unit cell a=3.3540 b=5.7281 c=8.5306 alpha=71.04 beta=80.12 gamma=89.97
Last column: nearest neighbours and their distance in Å.
Space group P-1 (No. 2)
Unique sites:
Sn1 0.2138 0.2129 0.0781  4 Pb 3.19-3.22, 2 H 3.35-3.47, 6 Sn 3.35-3.56
H1 0.4860 0.9738 0.5476  1 H 0.76
Pb1 0.1354 0.6228 0.2640  4 Sn 3.19-3.22, 2 Pb 3.35, 1 H 3.56



8.
Density functional theory data (PBE) for a relaxed KCeGaS4 crystal.

* spin magnetization: 0.3 μB/cell
* calculated density: 3.44 g cm⁻³
* E_form (uncorrected): -1.310 eV/atom

Unit cell a=6.5522 b=6.6044 c=8.8487 alpha=90.00 beta=107.86 gamma=90.00
Last column: nearest neighbours and their distance in Å.
Space group P2_1/m (No. 11)
Unique sites:
K1 0.2390 0.2500 0.4411  6 S 3.14-3.51
Ce1 0.2677 0.2500 0.9450  6 S 2.73-2.85
Ga1 0.2699 0.7500 0.1709  4 S 2.24-2.29
S1 0.0510 0.7500 0.9154  1 Ga 2.28
S2 0.0656 0.7500 0.3333  1 Ga 2.24
S3 0.4892 0.5102 0.7944  1 Ga 2.29



9.
Density functional theory data (PBE) for a relaxed Re2TcTe crystal.

* spin magnetization: 0.0 μB/cell
* calculated density: 14.98 g cm⁻³
* E_form (uncorrected): 0.762 eV/atom

Unit cell a=5.1788 b=8.5420 c=2.9965 alpha=90.00 beta=90.00 gamma=90.00
Last column: nearest neighbours and their distance in Å.
Space group Cmmm (No. 65)
Unique sites:
Re1 0.2500 0.2500 0.0000  2 Re 2.59
Tc1 0.0000 0.0000 0.5000  2 Te 2.59
Te1 0.0000 0.5000 0.5000  2 Tc 2.59



10.
Density functional theory data (PBE) for a relaxed Pu2Zn16Ag crystal.

* calculated formation energy: -138.2 meV per atom
* spin magnetization: 33.4 μB/cell
* calculated density: 8.71 g cm⁻³

Unit cell a=9.0397 b=9.0397 c=13.2754 alpha=90.00 beta=90.00 gamma=120.00
Last column: nearest neighbours and their distance in Å.
Space group R3m (No. 160, hexagonal axes)
Unique sites:
Pu1 0.0000 0.0000 0.0000  13 Zn 3.08-3.40
Pu2 0.0000 0.0000 0.3201  18 Zn 3.18-3.49, 1 Ag 3.22
Zn1 0.0000 0.0000 0.7683  6 Zn 2.71-2.85, 1 Ag 2.73
Zn2 0.9999 0.2964 0.6599  8 Zn 2.60-2.79
Zn3 0.0077 0.5038 0.8112  8 Zn 2.58-2.79
Zn4 0.1675 0.3350 0.4933  9 Zn 2.60-2.71, 1 Ag 2.78
Zn5 0.1710 0.3420 0.8424  9 Zn 2.58-2.85
Ag1 0.0000 0.0000 0.5624  13 Zn 2.73-2.98



11.
Density functional theory data (PBE) for a relaxed YOsAu2 crystal.

* calculated formation energy: 228.6 meV per atom
* polymorph energy (0 for the lowest one): 1.46 eV per formula unit
* spin magnetization: 0.0 μB/cell
* calculated density: 13.54 g cm⁻³

Unit cell a=4.0743 b=4.0743 c=19.8969 alpha=90.00 beta=90.00 gamma=90.00
Last column: nearest neighbours and their distance in Å.
Space group I-42d (No. 122)
Unique sites:
Y1 0.0000 0.0000 0.0000  4 Os 2.88, 4 Au 2.91
Os1 0.0000 0.0000 0.5000  4 Au 2.84, 4 Y 2.88
Au1 0.2263 0.2500 0.6250  4 Au 2.75-3.02, 2 Os 2.84, 2 Y 2.91



12.
Density functional theory data (PBE) for a relaxed NaSr2GaPd crystal.

* calculated formation energy: -320.2 meV per atom
* spin magnetization: 0.0 μB/cell
* calculated density: 3.54 g cm⁻³

Unit cell a=5.9793 b=5.9793 c=4.9064 alpha=90.00 beta=90.00 gamma=90.00
Last column: nearest neighbours and their distance in Å.
Space group P4/mmm (No. 123)
Unique sites:
Na1 0.0000 0.0000 0.0000  8 Sr 3.87, 4 Ga 4.23
Sr1 0.0000 0.5000 0.5000  2 Pd 2.99
Ga1 0.5000 0.5000 0.0000  2 Pd 2.45
Pd1 0.5000 0.5000 0.5000  2 Ga 2.45



13.
Density functional theory data (PBE) for a relaxed CeSm6Y3Er2 crystal.

* calculated formation energy: 37.3 meV per atom
* spin magnetization: 2.7 μB/cell
* calculated density: 6.96 g cm⁻³

Unit cell a=6.2231 b=10.7786 c=11.8677 alpha=90.00 beta=100.08 gamma=90.00
Last column: nearest neighbours and their distance in Å.
Space group C2/m (No. 12)
Unique sites:
Ce1 0.0000 0.0000 0.0000  6 Sm 3.56, 6 Er 3.59
Sm1 0.2482 0.1657 0.2484  1 Ce 3.56, 2 Er 3.57, 6 Sm 3.57-3.60, 3 Y 3.59-3.60
Sm2 0.2491 0.0000 0.7516  1 Ce 3.56, 2 Er 3.57, 6 Sm 3.57-3.60, 3 Y 3.60
Y1 0.0000 0.1673 0.5000  6 Y 3.59-3.61, 6 Sm 3.59-3.60
Y2 0.0000 0.5000 0.5000  6 Y 3.59-3.60, 6 Sm 3.60
Er1 0.0000 0.3335 0.0000  6 Sm 3.57, 3 Er 3.59, 3 Ce 3.59



14.
Density functional theory data (PBE) for a relaxed Ta2GaMo crystal.

* calculated formation energy: -162.3 meV per atom
* spin magnetization: 0.0 μB/cell
* calculated density: 13.02 g cm⁻³

Unit cell a=3.3498 b=3.3498 c=5.9942 alpha=90.00 beta=90.00 gamma=90.00
Last column: nearest neighbours and their distance in Å.
Space group P4/mmm (No. 123)
Unique sites:
Ta1 0.0000 0.0000 0.2487  4 Mo 2.80, 4 Ga 2.81, 2 Ta 2.98-3.01
Ga1 0.5000 0.5000 0.5000  8 Ta 2.81, 2 Mo 3.00
Mo1 0.5000 0.5000 0.0000  8 Ta 2.80, 2 Ga 3.00



15.
Density functional theory data (PBE) for a relaxed Ba5Ag2HAu crystal.

* spin magnetization: 0.0 μB/cell
* calculated density: 5.21 g cm⁻³

Unit cell a=4.6880 b=20.5724 c=14.5485 alpha=90.00 beta=90.00 gamma=90.00
Last column: nearest neighbours and their distance in Å.
Space group Cmc2_1 (No. 36)
Unique sites:
Ba1 0.0000 0.0024 0.0000  1 H 2.57
Ba2 0.0000 0.1523 0.2637  1 Au 3.27, 4 Ag 3.58
Ba3 0.0000 0.1808 0.6139  1 H 2.71
Ba4 0.0000 0.2008 0.9278  2 Au 3.27, 2 Ag 3.64
Ba5 0.0000 0.4685 0.2335  2 H 2.62
Ag1 0.0000 0.3784 0.5834  7 Ba 3.58-3.83
Ag2 0.0000 0.3815 0.9434  7 Ba 3.52-3.72
H1 0.0000 0.0528 0.6585  4 Ba 2.57-2.71
Au1 0.0000 0.3111 0.2720  6 Ba 3.27-3.29



16.
Density functional theory data (PBE) for a relaxed RbSbO2 crystal.

* spin magnetization: 0.0 μB/cell
* calculated density: 4.21 g cm⁻³
* E_form (uncorrected): -1.207 eV/atom

Unit cell a=6.2182 b=6.2182 c=9.7512 alpha=90.00 beta=90.00 gamma=90.00
Last column: nearest neighbours and their distance in Å.
Space group I-42d (No. 122)
Unique sites:
Rb1 0.0000 0.0000 0.0000  4 O 2.96
Sb1 0.0000 0.0000 0.5000  4 O 2.17
O1 0.1450 0.2500 0.6250  2 Sb 2.17



17.
Density functional theory data (PBE) for a relaxed Pt2SeCl crystal.

* polymorph energy (0 for the lowest one): 1.87 eV per formula unit
* spin magnetization: 0.0 μB/cell
* calculated density: 10.54 g cm⁻³
* E_form (uncorrected): 0.220 eV/atom

Unit cell a=3.6134 b=4.9597 c=8.8691 alpha=90.00 beta=90.00 gamma=90.00
Last column: nearest neighbours and their distance in Å.
Space group Cmm2 (No. 35)
Unique sites:
Pt1 0.0000 0.0000 0.0000  2 Cl 2.51, 2 Pt 2.63
Pt2 0.0000 0.5000 0.2162  2 Se 2.55, 2 Pt 2.63
Se1 0.0000 0.0000 0.4186  2 Pt 2.55
Cl1 0.0000 0.5000 0.8034  2 Pt 2.51



18.
Density functional theory data (PBE) for a relaxed Th3Zr2Bi3 crystal.

* calculated formation energy: -329.8 meV per atom
* polymorph energy (0 for the lowest one): 0.40 eV per formula unit
* spin magnetization: 0.0 μB/cell
* calculated density: 10.45 g cm⁻³

Unit cell a=4.1110 b=14.6366 c=15.9045 alpha=90.00 beta=90.00 gamma=90.00
Last column: nearest neighbours and their distance in Å.
Space group Cmcm (No. 63)
Unique sites:
Th1 0.0000 0.0592 0.1181  6 Bi 3.28-3.42, 2 Zr 3.59
Th2 0.0000 0.3392 0.2500  4 Bi 3.31-3.34, 4 Zr 3.62
Zr1 0.0000 0.2440 0.5793  4 Bi 2.96-3.06, 2 Zr 3.26
Bi1 0.0000 0.3408 0.7500  2 Zr 3.06, 6 Th 3.28-3.34
Bi2 0.0000 0.3980 0.0491  3 Zr 2.96-3.04, 3 Th 3.31-3.32



19.
Density functional theory data (PBE) for a relaxed Tm2PuAg3Te6 crystal.

* spin magnetization: 10.0 μB/cell
* calculated density: 7.16 g cm⁻³
* E_form (uncorrected): -0.756 eV/atom

Unit cell a=17.2059 b=4.4396 c=10.5765 alpha=90.00 beta=106.51 gamma=90.00
Last column: nearest neighbours and their distance in Å.
Space group C2/m (No. 12)
Unique sites:
Tm1 0.1633 0.0000 0.3327  6 Te 3.00-3.10
Pu1 0.0000 0.5000 0.0000  6 Te 3.15-3.24
Ag1 0.0000 0.5000 0.5000  2 Te 2.64
Ag2 0.1743 0.0000 0.9669  4 Te 2.81-2.89
Te1 0.0159 0.0000 0.7972  1 Ag 2.81, 1 Tm 3.00
Te2 0.1574 0.5000 0.5253  1 Ag 2.64
Te3 0.1930 0.5000 0.1478  3 Ag 2.87-2.89, 2 Tm 3.10



20.
Density functional theory data (PBE) for a relaxed LiCaSiPd crystal.

* polymorph energy (0 for the lowest one): 0.00 eV per formula unit
* spin magnetization: 0.0 μB/cell
* calculated density: 4.38 g cm⁻³
* E_form (uncorrected): -0.468 eV/atom

Unit cell a=6.5027 b=6.5027 c=6.5027 alpha=90.00 beta=90.00 gamma=90.00
Last column: nearest neighbours and their distance in Å.
Space group F-43m (No. 216)
Unique sites:
Li1 0.0000 0.0000 0.0000  4 Ca 2.82, 4 Si 2.82
Ca1 0.2500 0.2500 0.2500  4 Li 2.82, 4 Pd 2.82
Si1 0.2500 0.2500 0.7500  4 Li 2.82, 4 Pd 2.82
Pd1 0.0000 0.0000 0.5000  4 Ca 2.82, 4 Si 2.82



Table of E (eV/atom), in record order: -6.8029 -7.9231 -5.6002 -4.4881 -1.8964 -5.6316 -3.6044 -5.1055 -8.8393 -2.8696 -5.8336 -2.9007 -5.1932 -9.5531 -2.7816 -4.9583 -4.1334 -6.7046 -4.9787 -4.1005